Entry 1:
{"formula": "BaMgZn2Pd", "functional": "PBE", "state": "relaxed", "lattice_angstrom": [[5.0335, 0.0000, 0.0000], [0.0000, 5.0335, 0.0000], [0.0000, 0.0000, 4.9900]], "species": ["Mg", "Zn", "Zn", "Ba", "Pd"], "frac_coords": [[0.0000, 0.0000, 0.5000], [0.0000, 0.5000, 0.0000], [0.5000, 0.0000, 0.0000], [0.5000, 0.5000, 0.5000], [0.0000, 0.0000, 0.0000]], "space_group": "P4/mmm (123)", "polymorph_energy_mev_per_atom": 47, "magmom_total_mub_per_fu": 0.000, "delta_e_f_mev_per_atom": -313, "dft_energy_ev_per_atom": -2.56}


Entry 2:
{"formula": "Ba2MgZnPd", "functional": "PBE", "state": "relaxed", "lattice_angstrom": [[-5.4051, 2.1150, 2.0966], [-2.4998, -5.5835, -0.8121], [1.3018, -1.2551, 4.6222]], "species": ["Mg", "Zn", "Ba", "Ba", "Pd"], "frac_coords": [[0.5000, 0.5000, 0.5000], [0.0000, 0.0000, 0.5000], [0.0000, 0.5000, 0.0000], [0.5000, 0.0000, 0.0000], [0.0000, 0.0000, 0.0000]], "space_group": "P4/mmm (123)", "polymorph_energy_mev_per_atom": 5, "magmom_total_mub_per_fu": 0.000, "delta_e_f_mev_per_atom": -189, "dft_energy_ev_per_atom": -2.57}


Entry 3:
{"formula": "Ba2MgZnPd", "functional": "PBE", "state": "relaxed", "lattice_angstrom": [[6.1376, 0.0000, 0.0000], [0.0000, 6.1376, 0.0000], [0.0000, 0.0000, 5.1164]], "species": ["Mg", "Zn", "Ba", "Ba", "Pd"], "frac_coords": [[0.0000, 0.0000, 0.5000], [0.5000, 0.5000, 0.5000], [0.0000, 0.5000, 0.0000], [0.5000, 0.0000, 0.0000], [0.0000, 0.0000, 0.0000]], "space_group": "P4/mmm (123)", "polymorph_energy_mev_per_atom": 0, "magmom_total_mub_per_fu": 0.000, "delta_e_f_mev_per_atom": -194, "dft_energy_ev_per_atom": -2.58}


Entry 4:
{"formula": "Ba2PmMg", "functional": "PBE", "state": "relaxed", "lattice_angstrom": [[3.8265, 0.0000, 0.0000], [1.9132, 3.3138, 0.0000], [1.9132, 1.1046, 13.3743]], "species": ["Mg", "Ba", "Ba", "Pm"], "frac_coords": [[0.5000, 0.5000, 0.5000], [0.0914, 0.0914, 0.7258], [0.9086, 0.9086, 0.2742], [0.0000, 0.0000, 0.0000]], "space_group": "R-3m (166)", "polymorph_energy_mev_per_atom": 190, "magmom_total_mub_per_fu": 0.125, "delta_e_f_mev_per_atom": 331, "dft_energy_ev_per_atom": -2.22}


Entry 5:
{"formula": "BaPm4Mg5", "functional": "PBE", "state": "relaxed", "lattice_angstrom": [[3.9174, 0.0000, 0.0000], [0.0000, 3.9174, 0.0000], [0.0000, 0.0000, 20.1734]], "species": ["Ba", "Pm", "Pm", "Pm", "Pm", "Mg", "Mg", "Mg", "Mg", "Mg"], "frac_coords": [[0.0000, 0.0000, 0.0000], [0.0000, 0.0000, 0.2195], [0.0000, 0.0000, 0.4059], [0.0000, 0.0000, 0.5941], [0.0000, 0.0000, 0.7805], [0.5000, 0.5000, 0.1248], [0.5000, 0.5000, 0.3116], [0.5000, 0.5000, 0.5000], [0.5000, 0.5000, 0.6884], [0.5000, 0.5000, 0.8752]], "space_group": "P4/mmm (123)", "magmom_total_mub_per_fu": 0.000, "delta_e_f_mev_per_atom": -85, "dft_energy_ev_per_atom": -2.97}


Entry 6:
{"formula": "BaPmMg17", "functional": "PBE", "state": "relaxed", "lattice_angstrom": [[7.8586, 0.0458, 0.9784], [0.8697, 7.8105, 0.9784], [0.0509, 0.0458, 7.9191]], "species": ["Ba", "Pm", "Mg", "Mg", "Mg", "Mg", "Mg", "Mg", "Mg", "Mg", "Mg", "Mg", "Mg", "Mg", "Mg", "Mg", "Mg", "Mg", "Mg"], "frac_coords": [[0.6636, 0.6636, 0.6636], [0.3296, 0.3296, 0.3296], [0.2960, 0.0036, 0.7005], [0.7005, 0.2960, 0.0036], [0.0036, 0.7005, 0.2960], [0.2960, 0.7005, 0.0036], [0.0036, 0.2960, 0.7005], [0.7005, 0.0036, 0.2960], [0.3462, 0.8523, 0.3462], [0.3462, 0.3462, 0.8523], [0.8523, 0.3462, 0.3462], [0.6453, 0.1659, 0.6453], [0.6453, 0.6453, 0.1659], [0.1659, 0.6453, 0.6453], [0.9991, 0.5015, 0.9991], [0.9991, 0.9991, 0.5015], [0.5015, 0.9991, 0.9991], [0.9046, 0.9046, 0.9046], [0.1010, 0.1010, 0.1010]], "space_group": "R3m (160)", "magmom_total_mub_per_fu": 0.000, "delta_e_f_mev_per_atom": -56, "dft_energy_ev_per_atom": -1.83}


Entry 7:
{"formula": "BaPmMg10", "functional": "PBE", "state": "relaxed", "lattice_angstrom": [[5.0329, 0.0000, 0.0000], [0.0000, 6.1264, 0.0000], [0.0000, 0.0000, 10.6280]], "species": ["Ba", "Pm", "Mg", "Mg", "Mg", "Mg", "Mg", "Mg", "Mg", "Mg", "Mg", "Mg"], "frac_coords": [[0.0000, 0.5000, 0.5000], [0.0000, 0.0000, 0.0000], [0.0000, 0.0000, 0.3210], [0.0000, 0.5000, 0.8428], [0.0000, 0.5000, 0.1572], [0.0000, 0.0000, 0.6790], [0.5000, 0.0000, 0.5000], [0.5000, 0.5000, 0.0000], [0.5000, 0.2440, 0.2388], [0.5000, 0.7560, 0.7612], [0.5000, 0.7560, 0.2388], [0.5000, 0.2440, 0.7612]], "space_group": "Pmmm (47)", "magmom_total_mub_per_fu": 0.000, "delta_e_f_mev_per_atom": -45, "dft_energy_ev_per_atom": -1.93}


Entry 8:
{"formula": "BaPm2Mg", "functional": "PBE", "state": "relaxed", "lattice_angstrom": [[3.6481, 0.0000, 0.0000], [1.8241, 3.1594, 0.0000], [1.8241, 1.0531, 12.7008]], "species": ["Mg", "Ba", "Pm", "Pm"], "frac_coords": [[0.5000, 0.5000, 0.5000], [0.0000, 0.0000, 0.0000], [0.0975, 0.0975, 0.7074], [0.9025, 0.9025, 0.2926]], "space_group": "R-3m (166)", "polymorph_energy_mev_per_atom": 175, "magmom_total_mub_per_fu": 0.082, "delta_e_f_mev_per_atom": 242, "dft_energy_ev_per_atom": -3.01}


Entry 9:
{"formula": "BaPmMg", "functional": "PBE", "state": "relaxed", "lattice_angstrom": [[-1.8457, -2.1152, 2.3276], [2.8035, -4.7329, -2.0779], [2.2582, 3.0054, 4.5217]], "species": ["Mg", "Ba", "Pm"], "frac_coords": [[0.0234, 0.0000, 0.0000], [0.6799, 0.3333, 0.6667], [0.2966, 0.6667, 0.3333]], "space_group": "P3m1 (156)", "polymorph_energy_mev_per_atom": 119, "magmom_total_mub_per_fu": 0.000, "delta_e_f_mev_per_atom": 172, "dft_energy_ev_per_atom": -2.58}


Entry 10:
{"formula": "Ba2PmMg", "functional": "PBE", "state": "relaxed", "lattice_angstrom": [[4.0897, 0.0000, 0.0000], [0.0000, 4.0897, 0.0000], [0.0000, 0.0000, 10.3525]], "species": ["Mg", "Ba", "Ba", "Pm"], "frac_coords": [[0.5000, 0.5000, 0.0000], [0.0000, 0.0000, 0.7716], [0.0000, 0.0000, 0.2284], [0.5000, 0.5000, 0.5000]], "space_group": "P4/mmm (123)", "polymorph_energy_mev_per_atom": 0, "magmom_total_mub_per_fu": 0.662, "delta_e_f_mev_per_atom": 141, "dft_energy_ev_per_atom": -2.41}


Entry 11:
{"formula": "BaPmMg", "functional": "PBE", "state": "relaxed", "lattice_angstrom": [[4.0570, 0.0000, 0.0000], [0.0000, 4.0570, 0.0000], [-2.0285, -2.0285, 7.0098]], "species": ["Mg", "Ba", "Pm"], "frac_coords": [[0.6839, 0.6839, 0.3677], [0.0137, 0.0137, 0.0274], [0.3025, 0.3025, 0.6049]], "space_group": "I4mm (107)", "polymorph_energy_mev_per_atom": 0, "magmom_total_mub_per_fu": 0.000, "delta_e_f_mev_per_atom": 53, "dft_energy_ev_per_atom": -2.70}


Entry 12:
{"formula": "BaPmMg", "functional": "PBE", "state": "relaxed", "lattice_angstrom": [[-1.6633, 4.9797, -0.1355], [-4.3583, -1.3855, 2.5822], [4.1393, 1.5960, 7.8426]], "species": ["Mg", "Mg", "Ba", "Ba", "Pm", "Pm"], "frac_coords": [[0.5000, 0.0000, 0.7300], [0.0000, 0.5000, 0.2700], [0.5000, 0.0000, 0.1573], [0.0000, 0.5000, 0.8427], [0.5000, 0.5000, 0.5000], [0.0000, 0.0000, 0.5000]], "space_group": "P4/nmm (129)", "polymorph_energy_mev_per_atom": 20, "magmom_total_mub_per_fu": 0.000, "delta_e_f_mev_per_atom": 73, "dft_energy_ev_per_atom": -2.68}